[1]
Material: LiFeTe2
Method: DFT, PBE-GGA
State: optimized geometry

abc: 5.521 5.521 5.521
angles: 139.28 106.93 87.18
Positions (direct):
Li 0.000 0.000 0.000
Fe 0.500 0.500 0.000
Te 0.285 0.785 0.500
Te 0.715 0.215 0.500

---

[2]
Material: Ta2CrIr
Method: DFT, PBE-GGA
State: optimized geometry

abc: 2.797 4.472 5.140
angles: 90.00 101.45 90.00
Positions (direct):
Ta 0.000 0.000 0.000
Ta 0.258 0.500 0.713
Cr 0.765 0.500 0.200
Ir 0.534 0.000 0.489

---

[3]
Material: KTaAl
Method: DFT, PBE-GGA
State: optimized geometry

abc: 7.126 7.126 2.844
angles: 101.44 101.44 35.14
Positions (direct):
K 0.000 0.000 0.000
Ta 0.281 0.281 0.281
Al 0.709 0.709 0.710

---

[4]
Material: ZrTl3Ga
Method: DFT, PBE-GGA
State: optimized geometry

abc: 5.276 5.276 5.276
angles: 90.00 90.00 90.00
Positions (direct):
Zr 0.000 0.000 0.000
Tl 0.000 0.500 0.500
Tl 0.500 0.000 0.500
Tl 0.500 0.500 0.000
Ga 0.500 0.500 0.500

---

[5]
Material: SrPuSi2
Method: DFT, PBE-GGA
State: optimized geometry

abc: 6.241 6.241 6.241
angles: 43.98 43.98 43.98
Positions (direct):
Sr 0.000 0.000 0.000
Pu 0.500 0.500 0.500
Si 0.219 0.219 0.219
Si 0.781 0.781 0.781

---

[6]
Material: Sr2Li5Zn2Cd
Method: DFT, PBE-GGA
State: optimized geometry

abc: 10.712 10.712 4.267
angles: 90.00 90.00 90.00
Positions (direct):
Sr 0.182 0.318 0.000
Sr 0.318 0.818 0.000
Sr 0.682 0.182 0.000
Sr 0.818 0.682 0.000
Li 0.000 0.500 0.500
Li 0.060 0.794 0.500
Li 0.206 0.060 0.500
Li 0.294 0.560 0.500
Li 0.440 0.294 0.500
Li 0.500 0.000 0.500
Li 0.560 0.706 0.500
Li 0.706 0.440 0.500
Li 0.794 0.940 0.500
Li 0.940 0.206 0.500
Zn 0.111 0.611 0.000
Zn 0.389 0.111 0.000
Zn 0.611 0.889 0.000
Zn 0.889 0.389 0.000
Cd 0.000 0.000 0.000
Cd 0.500 0.500 0.000

---

[7]
Material: TcTe2Pt
Method: DFT, PBE-GGA
State: optimized geometry

abc: 7.244 7.244 7.244
angles: 130.35 130.35 72.85
Positions (direct):
Tc 0.000 0.000 0.000
Tc 0.750 0.250 0.500
Te 0.117 0.625 0.992
Te 0.375 0.367 0.492
Te 0.633 0.125 0.008
Te 0.875 0.883 0.508
Pt 0.250 0.750 0.500
Pt 0.500 0.500 0.000

---

[8]
Material: Mn4Se3
Method: DFT, PBE-GGA
State: optimized geometry

abc: 11.046 11.046 11.046
angles: 162.75 162.75 24.49
Positions (direct):
Mn 0.060 0.060 0.000
Mn 0.371 0.371 0.000
Mn 0.629 0.629 0.000
Mn 0.940 0.940 0.000
Se 0.175 0.175 0.000
Se 0.500 0.500 0.000
Se 0.825 0.825 0.000

---

[9]
Material: LiCdRu2N
Method: DFT, PBE-GGA
State: optimized geometry

abc: 3.989 3.989 4.259
angles: 90.00 90.00 90.00
Positions (direct):
Li 0.000 0.000 0.000
Cd 0.500 0.500 0.000
Ru 0.000 0.500 0.500
Ru 0.500 0.000 0.500
N 0.000 0.000 0.500

---

[10]
Material: AcTbIn2Se4
Method: DFT, PBE-GGA
State: optimized geometry

abc: 7.569 4.357 8.103
angles: 90.00 107.97 90.00
Positions (direct):
Ac 0.000 0.000 0.000
Tb 0.500 0.500 0.000
In 0.000 0.500 0.500
In 0.500 0.000 0.500
Se 0.258 0.500 0.218
Se 0.279 0.000 0.789
Se 0.721 0.000 0.211
Se 0.742 0.500 0.782

---

[11]
Material: LiScGe
Method: DFT, PBE-GGA
State: optimized geometry

abc: 4.374 4.374 6.218
angles: 90.00 90.00 120.00
Positions (direct):
Li 0.333 0.667 0.136
Li 0.667 0.333 0.864
Sc 0.333 0.667 0.679
Sc 0.667 0.333 0.321
Ge 0.000 0.000 0.000
Ge 0.000 0.000 0.500

---

[12]
Material: LaScP2
Method: DFT, PBE-GGA
State: optimized geometry

abc: 3.505 3.505 7.232
angles: 90.00 90.00 104.43
Positions (direct):
La 0.000 0.000 0.000
Sc 0.000 0.000 0.500
P 0.500 0.500 0.274
P 0.500 0.500 0.726

---

[13]
Material: Te2AuIO
Method: DFT, PBE-GGA
State: optimized geometry

abc: 4.394 4.394 7.910
angles: 90.00 90.00 90.00
Positions (direct):
Te 0.000 0.500 0.000
Te 0.500 0.000 0.000
Au 0.000 0.000 0.500
I 0.500 0.500 0.500
O 0.500 0.500 0.000

---

Number 1: uncorrected energy -16.8 eV/f.u.. Number 2: uncorrected energy -42.8 eV/f.u.. Number 3: uncorrected energy -14.6 eV/f.u.. Number 4: uncorrected energy -15.0 eV/f.u.. Number 5: uncorrected energy -27.2 eV/f.u.. Number 6: uncorrected energy -17.4 eV/f.u.. Number 7: uncorrected energy -21.9 eV/f.u.. Number 8: uncorrected energy -48.0 eV/f.u.. Number 9: uncorrected energy -29.9 eV/f.u.. Number 10: uncorrected energy -38.6 eV/f.u.. Number 11: uncorrected energy -14.2 eV/f.u.. Number 12: uncorrected energy -26.4 eV/f.u.. Number 13: uncorrected energy -14.7 eV/f.u..